# GGA-PBE LaHfMn3, relaxed
# offset from the most stable computed form = 0.682 eV per atom
# formation energy from the elements = 1.470 eV per atom
data_LaHfMn3
_chemical_formula_sum 'La1 Hf1 Mn3'
_space_group_name_H-M_alt 'P m -3 m'
_space_group_IT_number 221
_space_group_name_Hall '-P 4 2 3'
_cell_length_a 4.6571
_cell_length_b 4.6571
_cell_length_c 4.6571
_cell_angle_alpha 90.00
_cell_angle_beta 90.00
_cell_angle_gamma 90.00
loop_
_atom_site_label
_atom_site_type_symbol
_atom_site_fract_x
_atom_site_fract_y
_atom_site_fract_z
La1 La 0.0000 0.0000 0.0000
Hf1 Hf 0.5000 0.5000 0.5000
Mn1 Mn 0.0000 0.0000 0.5000

# GGA-PBE SrCa2YAg, relaxed
# formation energy from the elements = 0.022 eV per atom
data_SrCa2YAg
_chemical_formula_sum 'Sr1 Ca2 Y1 Ag1'
_space_group_name_H-M_alt 'P 4/m m m'
_space_group_IT_number 123
_space_group_name_Hall '-P 4 2'
_cell_length_a 5.8921
_cell_length_b 5.8921
_cell_length_c 5.6968
_cell_angle_alpha 90.00
_cell_angle_beta 90.00
_cell_angle_gamma 90.00
loop_
_atom_site_label
_atom_site_type_symbol
_atom_site_fract_x
_atom_site_fract_y
_atom_site_fract_z
Sr1 Sr 0.0000 0.0000 0.0000
Ca1 Ca 0.0000 0.5000 0.5000
Y1 Y 0.5000 0.5000 0.0000
Ag1 Ag 0.5000 0.5000 0.5000

# GGA-PBE Ba2AgSn2As4, relaxed
# formation energy from the elements = -0.479 eV per atom
data_Ba2AgSn2As4
_chemical_formula_sum 'Ba4 Ag2 Sn4 As8'
_space_group_name_H-M_alt 'I m m m'
_space_group_IT_number 71
_space_group_name_Hall '-I 2 2'
_cell_length_a 5.0553
_cell_length_b 6.5647
_cell_length_c 15.4597
_cell_angle_alpha 90.00
_cell_angle_beta 90.00
_cell_angle_gamma 90.00
loop_
_atom_site_label
_atom_site_type_symbol
_atom_site_fract_x
_atom_site_fract_y
_atom_site_fract_z
Ba1 Ba 0.0000 0.0000 0.1368
Ag1 Ag 0.0000 0.5000 0.0000
Sn1 Sn 0.0000 0.0000 0.3681
As1 As 0.0000 0.2895 0.5000
As2 As 0.0000 0.5000 0.1993

# GGA-PBE U2Cl5O2, relaxed
# formation energy without anion corrections = -2.2084 eV/atom
data_U2Cl5O2
_chemical_formula_sum 'U4 Cl10 O4'
_space_group_name_H-M_alt 'C m m m'
_space_group_IT_number 65
_space_group_name_Hall '-C 2 2'
_cell_length_a 8.4832
_cell_length_b 13.8536
_cell_length_c 4.1303
_cell_angle_alpha 90.00
_cell_angle_beta 90.00
_cell_angle_gamma 90.00
loop_
_atom_site_label
_atom_site_type_symbol
_atom_site_fract_x
_atom_site_fract_y
_atom_site_fract_z
U1 U 0.0000 0.1998 0.0000
Cl1 Cl 0.0000 0.0000 0.0000
Cl2 Cl 0.1887 0.3602 0.0000
O1 O 0.0000 0.1998 0.5000

# GGA-PBE Zn4NiAg, relaxed
# offset from the most stable computed form = 0.132 eV per atom
# formation energy from the elements = 0.043 eV per atom
data_Zn4NiAg
_chemical_formula_sum 'Zn16 Ni4 Ag4'
_space_group_name_H-M_alt 'F -4 3 m'
_space_group_IT_number 216
_space_group_name_Hall 'F -4 2 3'
_cell_length_a 7.0415
_cell_length_b 7.0415
_cell_length_c 7.0415
_cell_angle_alpha 90.00
_cell_angle_beta 90.00
_cell_angle_gamma 90.00
loop_
_atom_site_label
_atom_site_type_symbol
_atom_site_fract_x
_atom_site_fract_y
_atom_site_fract_z
Zn1 Zn 0.1254 0.1254 0.1254
Ni1 Ni 0.0000 0.0000 0.5000
Ag1 Ag 0.2500 0.2500 0.7500

# GGA-PBE Ti3AlB, relaxed
# offset from the most stable computed form = 0.000 eV per atom
# formation energy from the elements = -0.392 eV per atom
data_Ti3AlB
_chemical_formula_sum 'Ti3 Al1 B1'
_space_group_name_H-M_alt 'P m -3 m'
_space_group_IT_number 221
_space_group_name_Hall '-P 4 2 3'
_cell_length_a 4.2703
_cell_length_b 4.2703
_cell_length_c 4.2703
_cell_angle_alpha 90.00
_cell_angle_beta 90.00
_cell_angle_gamma 90.00
loop_
_atom_site_label
_atom_site_type_symbol
_atom_site_fract_x
_atom_site_fract_y
_atom_site_fract_z
Ti1 Ti 0.0000 0.0000 0.5000
Al1 Al 0.5000 0.5000 0.5000
B1 B 0.0000 0.0000 0.0000

# GGA-PBE Tl14SnSb, relaxed
# formation energy without anion corrections = 0.0121 eV/atom
data_Tl14SnSb
_chemical_formula_sum 'Tl28 Sn2 Sb2'
_space_group_name_H-M_alt 'A m m 2'
_space_group_IT_number 38
_space_group_name_Hall 'A 2 -2'
_cell_length_a 11.2611
_cell_length_b 7.0707
_cell_length_c 12.2956
_cell_angle_alpha 90.00
_cell_angle_beta 90.00
_cell_angle_gamma 90.00
loop_
_atom_site_label
_atom_site_type_symbol
_atom_site_fract_x
_atom_site_fract_y
_atom_site_fract_z
Tl1 Tl 0.0000 0.0000 0.9998
Tl2 Tl 0.0000 0.0000 0.5000
Tl3 Tl 0.0000 0.2496 0.2469
Tl4 Tl 0.2472 0.0000 0.3333
Tl5 Tl 0.2495 0.0000 0.8337
Tl6 Tl 0.2597 0.2497 0.0841
Tl7 Tl 0.5000 0.2488 0.4146
Sn1 Sn 0.5000 0.0000 0.1749
Sb1 Sb 0.5000 0.0000 0.6738

# GGA-PBE Na2TiI6, relaxed
# offset from the most stable computed form = 0.027 eV per atom
# formation energy without anion corrections = -0.8888 eV/atom
data_Na2TiI6
_chemical_formula_sum 'Na4 Ti2 I12'
_space_group_name_H-M_alt 'P 42/m n m'
_space_group_IT_number 136
_space_group_name_Hall '-P 4n 2n'
_cell_length_a 7.3131
_cell_length_b 7.3131
_cell_length_c 13.4770
_cell_angle_alpha 90.00
_cell_angle_beta 90.00
_cell_angle_gamma 90.00
loop_
_atom_site_label
_atom_site_type_symbol
_atom_site_fract_x
_atom_site_fract_y
_atom_site_fract_z
Na1 Na 0.0000 0.0000 0.1652
Ti1 Ti 0.0000 0.0000 0.5000
I1 I 0.1872 0.1872 0.3537
I2 I 0.2296 0.2296 0.0000

What is the formula in the first record?
LaHfMn3